1.
Density functional theory data (PBE) for a relaxed structure of HRuBr2.

Cell: 7.7759 7.7759 7.7759 Å, 23.84 23.84 23.84°
Last column: nearest neighbours and their distance in Å.
Fractional coordinates of all 4 atoms:
Ru (0.0000, 0.0000, 0.0000)  2 Br 2.35
Br (0.1038, 0.1038, 0.1038)  3 H 2.34, 1 Ru 2.35
Br (0.8962, 0.8962, 0.8962)  3 H 2.34, 1 Ru 2.35
H (0.5000, 0.5000, 0.5000)  6 Br 2.34

Crystal system: trigonal
Energy relative to the lowest polymorph listed for this composition in meV/atom: 374.8

---

2.
Density functional theory data (PBE) for a relaxed structure of H2RuBr8.

Cell: 5.5656 8.7114 8.7114 Å, 56.53 82.91 82.91°
Last column: nearest neighbours and their distance in Å.
Fractional coordinates of all 11 atoms:
H (0.9914, 0.2515, 0.2515)  1 Br 1.48
Br (0.2596, 0.8357, 0.2624)  1 Ru 2.46
Br (0.7480, 0.1495, 0.1495)  1 H 2.21
Br (0.7404, 0.7376, 0.1643)  1 Ru 2.46
Br (0.8618, 0.6751, 0.6751)  1 H 1.48
H (0.0086, 0.7485, 0.7485)  1 Br 1.48
Br (0.2596, 0.2624, 0.8357)  1 Ru 2.46
Br (0.7404, 0.1643, 0.7376)  1 Ru 2.46
Br (0.2520, 0.8505, 0.8505)  1 H 2.21
Ru (0.0000, 0.0000, 0.0000)  6 Br 2.46-2.52
Br (0.1382, 0.3249, 0.3249)  1 H 1.48

Total DFT energy (no corrections) in Ry/atom: -0.20462
Crystal system: monoclinic